The following is a DFT calculation (GGA-PBE) of a relaxed structure of ThMgV.

Cell and atoms, written as POSCAR:
```
ThMgV
1.0
5.178 0.000 0.000
2.589 3.303 0.000
2.589 0.000 9.233
Mg V Th
2 2 2
direct
0.750 0.500 0.500 Mg
0.250 0.500 0.500 Mg
0.846 0.308 0.000 V
0.154 0.692 0.000 V
0.595 0.000 0.811 Th
0.405 0.000 0.189 Th
```

Results
- energy of formation from the pure elements (eV/atom) = 0.51
- SG = No. 69